! NaCuHPt2 | Alexandria | PBE | relaxed; values from VASP
&SYSTEM
  ibrav = 0, nat = 5, ntyp = 4
/
ATOMIC_SPECIES
Na 22.99 Na.upf
Cu 63.55 Cu.upf
H 1.01 H.upf
Pt 195.08 Pt.upf
CELL_PARAMETERS angstrom
3.937 0.000 0.000
0.000 3.937 0.000
0.000 0.000 4.187
ATOMIC_POSITIONS crystal
Na 0.000 0.000 0.000
Cu 0.500 0.500 0.000
H 0.000 0.000 0.500
Pt 0.000 0.500 0.500
Pt 0.500 0.000 0.500
! SG: P4/mmm (123)
! final energy: -21.19 eV per formula unit
! magnetization: 0.00 μB/cell
! distance to the lowest polymorph of the same formula: 0.0000 eV/atom


! NaCuH8Pt2 | Alexandria | PBE | relaxed; values from VASP
&SYSTEM
  ibrav = 0, nat = 12, ntyp = 4
/
ATOMIC_SPECIES
Na 22.99 Na.upf
Cu 63.55 Cu.upf
H 1.01 H.upf
Pt 195.08 Pt.upf
CELL_PARAMETERS angstrom
2.368 1.367 5.856
-2.368 1.367 5.856
0.000 -2.734 5.856
ATOMIC_POSITIONS crystal
Na 0.000 0.000 0.000
Cu 0.500 0.500 0.500
H 0.129 0.424 0.780
H 0.220 0.871 0.576
H 0.302 0.302 0.302
H 0.424 0.780 0.129
H 0.576 0.220 0.871
H 0.698 0.698 0.698
H 0.780 0.129 0.424
H 0.871 0.576 0.220
Pt 0.210 0.210 0.210
Pt 0.790 0.790 0.790
! SG: R-3 (148)
! final energy: -44.00 eV per formula unit
! magnetization: 0.00 μB/cell


! NaCuHPt2 | Alexandria | PBE | relaxed; values from VASP
&SYSTEM
  ibrav = 0, nat = 5, ntyp = 4
/
ATOMIC_SPECIES
Na 22.99 Na.upf
Cu 63.55 Cu.upf
H 1.01 H.upf
Pt 195.08 Pt.upf
CELL_PARAMETERS angstrom
3.994 0.000 0.000
0.000 3.994 0.000
0.000 0.000 4.071
ATOMIC_POSITIONS crystal
Na 0.000 0.000 0.000
Cu 0.500 0.500 0.000
H 0.500 0.500 0.500
Pt 0.000 0.500 0.500
Pt 0.500 0.000 0.500
! SG: P4/mmm (123)
! final energy: -20.98 eV per formula unit
! magnetization: 0.00 μB/cell
! distance to the lowest polymorph of the same formula: 0.0420 eV/atom


! Rb2NaCuH4 | Alexandria | PBE | relaxed; values from VASP
&SYSTEM
  ibrav = 0, nat = 16, ntyp = 4
/
ATOMIC_SPECIES
Rb 85.47 Rb.upf
Na 22.99 Na.upf
Cu 63.55 Cu.upf
H 1.01 H.upf
CELL_PARAMETERS angstrom
0.000 5.834 11.107
2.608 0.000 11.107
2.608 5.834 0.000
ATOMIC_POSITIONS crystal
Rb 0.052 0.052 0.698
Rb 0.302 0.302 0.948
Rb 0.698 0.698 0.052
Rb 0.948 0.948 0.302
Na 0.125 0.125 0.125
Na 0.875 0.875 0.875
Cu 0.375 0.375 0.375
Cu 0.625 0.625 0.625
H 0.067 0.597 0.508
H 0.328 0.508 0.597
H 0.403 0.933 0.672
H 0.492 0.672 0.933
H 0.508 0.328 0.067
H 0.597 0.067 0.328
H 0.672 0.492 0.403
H 0.933 0.403 0.492
! SG: Fddd (70)
! final energy: -21.53 eV per formula unit
! magnetization: 0.00 μB/cell


! RbNaCuH3 | Alexandria | PBE | relaxed; values from VASP
&SYSTEM
  ibrav = 0, nat = 12, ntyp = 4
/
ATOMIC_SPECIES
Rb 85.47 Rb.upf
Na 22.99 Na.upf
Cu 63.55 Cu.upf
H 1.01 H.upf
CELL_PARAMETERS angstrom
7.696 0.000 0.000
0.000 3.541 0.000
-2.604 0.000 7.808
ATOMIC_POSITIONS crystal
Rb 0.236 0.250 0.219
Rb 0.764 0.750 0.781
Na 0.155 0.250 0.646
Na 0.845 0.750 0.354
Cu 0.383 0.750 0.940
Cu 0.617 0.250 0.060
H 0.164 0.750 0.874
H 0.167 0.750 0.460
H 0.449 0.250 0.873
H 0.551 0.750 0.127
H 0.833 0.250 0.540
H 0.836 0.250 0.126
! SG: P2_1/m (11)
! final energy: -17.00 eV per formula unit
! magnetization: 0.00 μB/cell


! Na2CuH6Rh | Alexandria | PBE | relaxed; values from VASP
&SYSTEM
  ibrav = 0, nat = 10, ntyp = 4
/
ATOMIC_SPECIES
Na 22.99 Na.upf
Cu 63.55 Cu.upf
H 1.01 H.upf
Rh 102.91 Rh.upf
CELL_PARAMETERS angstrom
5.160 0.000 0.000
-2.580 4.468 0.000
0.000 0.000 4.958
ATOMIC_POSITIONS crystal
Na 0.333 0.667 0.176
Na 0.667 0.333 0.824
Cu 0.000 0.000 0.500
H 0.147 0.294 0.785
H 0.147 0.853 0.785
H 0.294 0.147 0.215
H 0.706 0.853 0.785
H 0.853 0.147 0.215
H 0.853 0.706 0.215
Rh 0.000 0.000 0.000
! SG: P-3m1 (164)
! final energy: -36.48 eV per formula unit
! magnetization: 0.00 μB/cell


! Na2Cu2HSe2 | Alexandria | PBE | relaxed; values from VASP
&SYSTEM
  ibrav = 0, nat = 14, ntyp = 4
/
ATOMIC_SPECIES
Na 22.99 Na.upf
Cu 63.55 Cu.upf
H 1.01 H.upf
Se 78.96 Se.upf
CELL_PARAMETERS angstrom
10.537 0.000 0.000
0.000 3.849 0.000
-3.556 0.000 6.218
ATOMIC_POSITIONS crystal
Na 0.048 0.000 0.305
Na 0.452 0.500 0.695
Na 0.548 0.500 0.305
Na 0.952 0.000 0.695
Cu 0.175 0.500 0.057
Cu 0.325 0.000 0.943
Cu 0.675 0.000 0.057
Cu 0.825 0.500 0.943
H 0.000 0.500 0.000
H 0.500 0.000 0.000
Se 0.189 0.500 0.721
Se 0.311 0.000 0.279
Se 0.689 0.000 0.721
Se 0.811 0.500 0.279
! SG: C2/m (12)
! final energy: -24.30 eV per formula unit
! magnetization: 0.00 μB/cell


! Na2CuHSe2 | Alexandria | PBE | relaxed; values from VASP
&SYSTEM
  ibrav = 0, nat = 12, ntyp = 4
/
ATOMIC_SPECIES
Na 22.99 Na.upf
Cu 63.55 Cu.upf
H 1.01 H.upf
Se 78.96 Se.upf
CELL_PARAMETERS angstrom
-3.027 6.418 2.807
3.027 -6.418 2.807
3.027 6.418 -2.807
ATOMIC_POSITIONS crystal
Na 0.163 0.233 0.396
Na 0.337 0.733 0.070
Na 0.663 0.267 0.930
Na 0.837 0.767 0.604
Cu 0.250 0.750 0.500
Cu 0.750 0.250 0.500
H 0.250 0.250 0.000
H 0.750 0.750 0.000
Se 0.101 0.768 0.870
Se 0.399 0.268 0.667
Se 0.601 0.732 0.333
Se 0.899 0.232 0.130
! SG: Ibam (72)
! final energy: -18.98 eV per formula unit
! magnetization: 0.00 μB/cell